LaTl2W at its PBEsol-relaxed geometry, computed with meta-GGA SCAN.

a b c (Å): 3.0310 5.8190 5.8190
angles (deg): 115.85 90.00 90.00
With the nearest neighbours (Å) after each atom.
Fractional positions:
Tl: 0.0000 0.0000 0.5000  4 Tl 3.03-3.09, 4 La 3.28, 4 W 3.28
Tl: 0.0000 0.5000 0.0000  4 Tl 3.03-3.09, 4 W 3.28, 4 La 3.28
La: 0.5000 0.5000 0.5000  2 La 3.03, 2 W 3.09, 8 Tl 3.28
W: 0.5000 0.0000 0.0000  2 W 3.03, 2 La 3.09, 8 Tl 3.28

Properties
energy relative to the elements: 705 meV per atom
total DFT energy (no corrections): -254.69 eV for the cell shown
total magnetic moment: 0.0507 μB/atom
energy above the lowest structure with this stoichiometry: 243 meV per atom